1.
TeOsSeN2 after structural relaxation. Source: Alexandria, functional PBE.

Summary:
* ΔE to the lowest computed polymorph: 2.969 kcal/mol of atoms

Cell lengths 3.8724, 3.8724, 5.7109 Å; angles 90.00, 90.00, 90.00 degrees
Fractional coordinates of all 5 atoms:
Te1 0.5000 0.5000 0.5000
Os1 0.0000 0.0000 0.0000
Se1 0.0000 0.0000 0.5000
N1 0.0000 0.5000 0.0000
N2 0.5000 0.0000 0.0000



2.
Te2OsSeN after structural relaxation. Source: Alexandria, functional PBE.

Summary:
* ΔE to the lowest computed polymorph: 0.000 kcal/mol of atoms

Cell lengths 5.4457, 5.4457, 3.6901 Å; angles 90.00, 90.00, 90.00 degrees
Fractional coordinates of all 5 atoms:
Te1 0.0000 0.5000 0.0000
Te2 0.5000 0.0000 0.0000
Os1 0.0000 0.0000 0.0000
Se1 0.5000 0.5000 0.5000
N1 0.0000 0.0000 0.5000



3.
TeOsSeN2 after structural relaxation. Source: Alexandria, functional PBE.

Summary:
* ΔE to the lowest computed polymorph: 33.660 kcal/mol of atoms

Cell lengths 3.7522, 3.7522, 7.0715 Å; angles 90.00, 90.00, 90.00 degrees
Fractional coordinates of all 5 atoms:
Te1 0.0000 0.0000 0.5000
Os1 0.5000 0.5000 0.5000
Se1 0.0000 0.0000 0.0000
N1 0.0000 0.5000 0.0000
N2 0.5000 0.0000 0.0000



4.
Te2OsSeN after structural relaxation. Source: Alexandria, functional PBE.

Summary:
* ΔE to the lowest computed polymorph: 27.849 kcal/mol of atoms

Cell lengths 5.3804, 5.3804, 3.5243 Å; angles 90.00, 90.00, 90.00 degrees
Fractional coordinates of all 5 atoms:
Te1 0.0000 0.5000 0.0000
Te2 0.5000 0.0000 0.0000
Os1 0.5000 0.5000 0.5000
Se1 0.0000 0.0000 0.0000
N1 0.0000 0.0000 0.5000